(1)
## Zn2OsRh (PBE)

Data for a relaxed structure of Zn2OsRh.

abc: 4.3194 4.3194 4.3194
angles: 60.00 60.00 60.00
Positions (direct):
Zn 0.0000 0.0000 0.0000
Zn 0.2500 0.2500 0.2500
Os 0.7500 0.7500 0.7500
Rh 0.5000 0.5000 0.5000

## Properties
The value obtained for the density of states at the Fermi level is 1.3280 states/eV/atom. As for the size of the total moment: 0.01 μB/f.u. The calculation puts the formation energy at 0.2022 eV/atom. The symmetry is F-43m.

(2)
## Ta2CrPt (PBE)

Data for a relaxed structure of Ta2CrPt.

abc: 2.8184 2.8184 8.2681
angles: 90.00 90.00 104.07
Positions (direct):
Ta 0.0000 0.0000 0.2392
Ta 0.0000 0.0000 0.7608
Cr 0.5000 0.5000 0.0000
Pt 0.5000 0.5000 0.5000

## Properties
The value obtained for the density of states at the Fermi level is 0.8358 states/eV/atom. As for the size of the total moment: 0.00 μB/f.u. The calculation puts the formation energy at -0.1891 eV/atom. The symmetry is Cmmm.

(3)
## SrAcSbO (PBE)

Data for a relaxed structure of SrAcSbO.

abc: 4.8606 4.8606 9.7092
angles: 90.00 90.00 90.00
Positions (direct):
Sr 0.2500 0.7500 0.0000
Sr 0.7500 0.2500 0.0000
Ac 0.2500 0.2500 0.3286
Ac 0.7500 0.7500 0.6714
Sb 0.2500 0.2500 0.6991
Sb 0.7500 0.7500 0.3009
O 0.2500 0.2500 0.0874
O 0.7500 0.7500 0.9126

## Properties
The value obtained for the density of states at the Fermi level is 0.0991 states/eV/atom. As for the size of the total moment: 0.00 μB/f.u. The energy relative to the elements, uncorrected is -196.78 kJ/mol of atoms. The symmetry is P4/nmm.

(4)
## BaThBr6 (PBE)

Data for a relaxed structure of BaThBr6.

abc: 7.5760 7.5760 7.6019
angles: 97.56 97.56 118.52
Positions (direct):
Ba 0.0000 0.0000 0.0000
Th 0.5000 0.5000 0.5000
Br 0.1394 0.4422 0.2661
Br 0.2479 0.2479 0.7137
Br 0.4422 0.1394 0.2661
Br 0.5578 0.8606 0.7339
Br 0.7521 0.7521 0.2863
Br 0.8606 0.5578 0.7339

## Properties
The value obtained for the density of states at the Fermi level is 0.0000 states/eV/atom. As for the size of the total moment: 0.00 μB/f.u. The energy relative to the elements, uncorrected is -181.99 kJ/mol of atoms. The symmetry is C2/m.

(5)
## KAgHBr2 (PBE)

Data for a relaxed structure of KAgHBr2.

abc: 5.6064 5.6064 3.7492
angles: 90.00 90.00 90.00
Positions (direct):
K 0.0000 0.0000 0.0000
Ag 0.5000 0.5000 0.5000
H 0.5000 0.5000 0.0000
Br 0.0000 0.5000 0.5000
Br 0.5000 0.0000 0.5000

## Properties
The value obtained for the density of states at the Fermi level is 0.3248 states/eV/atom. As for the size of the total moment: 0.00 μB/f.u. The symmetry is P4/mmm. For the total energy, the calculation gives -2.7360 eV/atom.

(6)
## CaEuMgBiO6 (PBE)

Data for a relaxed structure of CaEuMgBiO6.

abc: 5.7701 5.7701 5.7701
angles: 60.00 60.00 60.00
Positions (direct):
Ca 0.0000 0.0000 0.0000
Eu 0.5000 0.5000 0.5000
Mg 0.2500 0.2500 0.2500
Bi 0.7500 0.7500 0.7500
O 0.0043 0.0043 0.4957
O 0.0043 0.4957 0.0043
O 0.0043 0.4957 0.4957
O 0.4957 0.0043 0.0043
O 0.4957 0.0043 0.4957
O 0.4957 0.4957 0.0043

## Properties
The value obtained for the density of states at the Fermi level is 0.8502 states/eV/atom. As for the size of the total moment: 5.99 μB/f.u. The energy relative to the elements, uncorrected is -188.05 kJ/mol of atoms. The symmetry is F-43m.

(7)
## LiSn2Hg5 (PBE)

Data for a relaxed structure of LiSn2Hg5.

abc: 10.2227 10.2227 10.2227
angles: 154.60 154.60 36.23
Positions (direct):
Li 0.0000 0.0000 0.0000
Sn 0.2601 0.2601 0.0000
Sn 0.7399 0.7399 0.0000
Hg 0.1153 0.6153 0.5000
Hg 0.3847 0.8847 0.5000
Hg 0.5000 0.5000 0.0000
Hg 0.6153 0.1153 0.5000
Hg 0.8847 0.3847 0.5000

## Properties
The value obtained for the density of states at the Fermi level is 0.3110 states/eV/atom. As for the size of the total moment: 0.00 μB/f.u. The calculation puts the formation energy at -0.0497 eV/atom. The symmetry is I4/mmm.

(8)
## AcNi2N (PBE)

Data for a relaxed structure of AcNi2N.

abc: 5.4566 5.4566 5.4566
angles: 40.40 40.40 40.40
Positions (direct):
Ac 0.0000 0.0000 0.0000
Ni 0.2001 0.2001 0.2001
Ni 0.7999 0.7999 0.7999
N 0.5000 0.5000 0.5000

## Properties
The value obtained for the density of states at the Fermi level is 0.8628 states/eV/atom. As for the size of the total moment: 0.00 μB/f.u. The energy relative to the elements, uncorrected is 29.96 kJ/mol of atoms. The symmetry is R-3m.

(9)
## Pr2ErTm (PBE)

Data for a relaxed structure of Pr2ErTm.

abc: 5.7409 5.7409 5.7409
angles: 60.00 60.00 60.00
Positions (direct):
Pr 0.2500 0.2500 0.2500
Pr 0.7500 0.7500 0.7500
Er 0.0000 0.0000 0.0000
Tm 0.5000 0.5000 0.5000

## Properties
The value obtained for the density of states at the Fermi level is 1.7314 states/eV/atom. As for the size of the total moment: 0.00 μB/f.u. The calculation puts the formation energy at 0.0935 eV/atom. The symmetry is Fm-3m.

(10)
## Na3LiSb (PBE)

Data for a relaxed structure of Na3LiSb.

abc: 7.4787 7.4787 7.4787
angles: 85.99 119.03 125.79
Positions (direct):
Na 0.1836 0.0029 0.6808
Na 0.2486 0.0231 0.2717
Na 0.2486 0.4769 0.7255
Na 0.3221 0.5029 0.3192
Na 0.7514 0.5231 0.2745
Na 0.7514 0.9769 0.7283
Li 0.2527 0.7531 0.9996
Li 0.7535 0.2531 0.0004
Sb 0.7314 0.5023 0.7291
Sb 0.7733 0.0023 0.2709

## Properties
The value obtained for the density of states at the Fermi level is 0.3122 states/eV/atom. As for the size of the total moment: 0.00 μB/f.u. The energy relative to the elements, uncorrected is -21.12 kJ/mol of atoms. The symmetry is Ima2.

(11)
## PaZnPd6 (PBE)

Data for a relaxed structure of PaZnPd6.

abc: 4.0914 4.0914 7.8548
angles: 90.00 90.00 90.00
Positions (direct):
Pa 0.0000 0.0000 0.0000
Zn 0.0000 0.0000 0.5000
Pd 0.0000 0.5000 0.2557
Pd 0.0000 0.5000 0.7443
Pd 0.5000 0.0000 0.2557
Pd 0.5000 0.0000 0.7443
Pd 0.5000 0.5000 0.0000
Pd 0.5000 0.5000 0.5000

## Properties
The value obtained for the density of states at the Fermi level is 0.2250 states/eV/atom. As for the size of the total moment: 0.00 μB/f.u. The calculation puts the formation energy at -0.6511 eV/atom. The symmetry is P4/mmm.

(12)
## TaOs4Br (PBE)

Data for a relaxed structure of TaOs4Br.

abc: 5.2239 5.2239 5.2239
angles: 60.00 60.00 60.00
Positions (direct):
Ta 0.0000 0.0000 0.0000
Os 0.1245 0.6252 0.6252
Os 0.6252 0.1245 0.6252
Os 0.6252 0.6252 0.1245
Os 0.6252 0.6252 0.6252
Br 0.2500 0.2500 0.2500

## Properties
The value obtained for the density of states at the Fermi level is 1.3881 states/eV/atom. As for the size of the total moment: 0.00 μB/f.u. The energy relative to the elements, uncorrected is 96.72 kJ/mol of atoms. The symmetry is F-43m.